DFT (PBE) results for a relaxed Mg3RePd crystal.

Cell: 5.012 5.012 5.012 Å, 90.00 90.00 90.00°
Fractional positions:
Mg (0.000, 0.500, 0.000)
Mg (0.000, 0.000, 0.500)
Mg (0.500, 0.000, 0.000)
Pd (0.500, 0.500, 0.500)
Re (0.000, 0.000, 0.000)

**Energy**: -3.3471 eV per atom
**Offset from the most stable computed form**: 315 meV/atom
**Symmetry**: Pm-3m (221)
**DOS(E_F)**: 2.7 states/eV/cell
**Calculated volume**: 25.17 Å³ per atom
**Energy of formation**: 1.14 eV per atom